No. 1
The following is a DFT calculation (PBE) of an optimized crystal structure of LaPmTmIn.

a b c (Å): 7.7987 7.7987 7.7987
angles (deg): 90.00 90.00 90.00
Closest atoms and distances in Å follow each position.
Space group F-43m (No. 216)
One atom of each set of equivalent atoms:
La1 0.0000 0.0000 0.0000 (multiplicity 4)  4 Tm 3.38, 4 Pm 3.38
Pm1 0.2500 0.2500 0.7500 (multiplicity 4)  4 In 3.38, 4 La 3.38
Tm1 0.2500 0.2500 0.2500 (multiplicity 4)  4 In 3.38, 4 La 3.38
In1 0.0000 0.0000 0.5000 (multiplicity 4)  4 Pm 3.38, 4 Tm 3.38

**ΔE to the lowest computed polymorph**: 23 meV/atom
**E_tot**: -4.32 eV per atom

---

No. 2
The following is a DFT calculation (PBE) of an optimized crystal structure of LaPm2TmIn4.

a b c (Å): 5.4270 5.4270 26.7677
angles (deg): 90.00 90.00 120.00
Closest atoms and distances in Å follow each position.
Space group R-3m (No. 166, hexagonal axes)
One atom of each set of equivalent atoms:
La1 0.0000 0.0000 0.0000 (multiplicity 3)  8 In 3.35-3.41
Pm1 0.0000 0.0000 0.2489 (multiplicity 6)  8 In 3.26-3.45
Tm1 0.0000 0.0000 0.5000 (multiplicity 3)  8 In 3.28-3.31
In1 0.0000 0.0000 0.1272 (multiplicity 6)  4 Pm 3.26-3.34, 3 Tm 3.31, 1 La 3.41
In2 0.0000 0.0000 0.3776 (multiplicity 6)  1 Tm 3.28, 4 Pm 3.31-3.45, 3 La 3.35

**E_tot**: -4.20 eV per atom

---

No. 3
The following is a DFT calculation (PBE) of an optimized crystal structure of LaPmTmIn.

a b c (Å): 7.8688 7.8688 7.8688
angles (deg): 90.00 90.00 90.00
Closest atoms and distances in Å follow each position.
Space group F-43m (No. 216)
One atom of each set of equivalent atoms:
La1 0.0000 0.0000 0.0000 (multiplicity 4)  4 In 3.41, 4 Pm 3.41
Pm1 0.2500 0.2500 0.7500 (multiplicity 4)  4 La 3.41, 4 Tm 3.41
Tm1 0.0000 0.0000 0.5000 (multiplicity 4)  4 In 3.41, 4 Pm 3.41
In1 0.2500 0.2500 0.2500 (multiplicity 4)  4 La 3.41, 4 Tm 3.41

**ΔE to the lowest computed polymorph**: 0 meV/atom
**E_tot**: -4.34 eV per atom

---

No. 4
The following is a DFT calculation (PBE) of an optimized crystal structure of LaPmYIn.

a b c (Å): 7.9318 7.9318 7.9318
angles (deg): 90.00 90.00 90.00
Closest atoms and distances in Å follow each position.
Space group F-43m (No. 216)
One atom of each set of equivalent atoms:
La1 0.0000 0.0000 0.0000 (multiplicity 4)  4 In 3.43, 4 Y 3.43
Pm1 0.0000 0.0000 0.5000 (multiplicity 4)  4 Y 3.43, 4 In 3.43
Y1 0.2500 0.2500 0.7500 (multiplicity 4)  4 La 3.43, 4 Pm 3.43
In1 0.2500 0.2500 0.2500 (multiplicity 4)  4 La 3.43, 4 Pm 3.43

**ΔE to the lowest computed polymorph**: 0 meV/atom
**E_tot**: -4.87 eV per atom

---

No. 5
The following is a DFT calculation (PBE) of an optimized crystal structure of La2Pm2YIn5.

a b c (Å): 11.1887 11.1887 4.6982
angles (deg): 90.00 90.00 90.00
Closest atoms and distances in Å follow each position.
Space group P4/mbm (No. 127)
One atom of each set of equivalent atoms:
La1 0.1766 0.3234 0.0000 (multiplicity 4)  1 Pm 3.08
Pm1 0.1290 0.6290 0.0000 (multiplicity 4)  1 La 3.08, 6 In 3.11-3.19
Y1 0.0000 0.0000 0.0000 (multiplicity 2)  8 In 3.24
In1 0.0000 0.5000 0.5000 (multiplicity 2)  4 Pm 3.11
In2 0.0586 0.8092 0.5000 (multiplicity 8)  3 In 3.16-3.52, 2 Pm 3.19, 2 Y 3.24

**E_tot**: -4.32 eV per atom

---

No. 6
The following is a DFT calculation (PBE) of an optimized crystal structure of LaPmYIn.

a b c (Å): 7.8505 7.8505 7.8505
angles (deg): 90.00 90.00 90.00
Closest atoms and distances in Å follow each position.
Space group F-43m (No. 216)
One atom of each set of equivalent atoms:
La1 0.0000 0.0000 0.0000 (multiplicity 4)  4 Pm 3.40, 4 Y 3.40
Pm1 0.2500 0.2500 0.2500 (multiplicity 4)  4 In 3.40, 4 La 3.40
Y1 0.2500 0.2500 0.7500 (multiplicity 4)  4 La 3.40, 4 In 3.40
In1 0.0000 0.0000 0.5000 (multiplicity 4)  4 Y 3.40, 4 Pm 3.40

**ΔE to the lowest computed polymorph**: 35 meV/atom
**E_tot**: -4.84 eV per atom

---

No. 7
The following is a DFT calculation (PBE) of an optimized crystal structure of La2Pm7YIn2.

a b c (Å): 10.0421 6.9953 11.4998
angles (deg): 90.00 90.08 90.00
Closest atoms and distances in Å follow each position.
Space group C2/m (No. 12)
One atom of each set of equivalent atoms:
La1 0.0001 0.0000 0.1455 (multiplicity 4)  1 La 3.35, 6 Pm 3.63-3.75, 2 In 3.63
Pm1 0.0000 0.0000 0.5000 (multiplicity 2)  2 Y 3.50, 8 Pm 3.61
Pm2 0.1790 0.5000 0.0005 (multiplicity 4)  2 In 3.19
Pm3 0.2497 0.2501 0.3330 (multiplicity 8)  2 In 3.28, 4 Pm 3.50-3.61, 2 Y 3.61
Y1 0.0000 0.5000 0.5000 (multiplicity 2)  2 In 3.11
In1 0.0007 0.5000 0.7706 (multiplicity 4)  1 Y 3.11, 6 Pm 3.19-3.28

**E_tot**: -4.66 eV per atom

---

No. 8
The following is a DFT calculation (PBE) of an optimized crystal structure of La2PmZn2In2.

a b c (Å): 4.7010 4.7010 28.4854
angles (deg): 90.00 90.00 120.00
Closest atoms and distances in Å follow each position.
Space group R-3m (No. 166, hexagonal axes)
One atom of each set of equivalent atoms:
La1 0.0000 0.0000 0.1362 (multiplicity 6)  3 La 3.22, 3 Zn 3.31, 3 In 3.35
Pm1 0.0000 0.0000 0.0000 (multiplicity 3)  6 In 3.32, 6 Zn 3.36
Zn1 0.0000 0.0000 0.4032 (multiplicity 6)  3 In 2.72
In1 0.0000 0.0000 0.2661 (multiplicity 6)  3 Zn 2.72

**E_tot**: -3.56 eV per atom

---

No. 9
The following is a DFT calculation (PBE) of an optimized crystal structure of LaPmZn2In2.

a b c (Å): 4.7568 4.7568 7.7147
angles (deg): 90.00 90.00 120.00
Closest atoms and distances in Å follow each position.
Space group P-3m1 (No. 164)
One atom of each set of equivalent atoms:
La1 0.0000 0.0000 0.0000 (multiplicity 1)  6 In 3.41, 6 Zn 3.50
Pm1 0.0000 0.0000 0.5000 (multiplicity 1)  6 Zn 3.23, 6 In 3.30
Zn1 0.3333 0.6667 0.2809 (multiplicity 2)  3 In 2.75
In1 0.3333 0.6667 0.7371 (multiplicity 2)  3 Zn 2.75

**E_tot**: -3.41 eV per atom

---

No. 10
The following is a DFT calculation (PBE) of an optimized crystal structure of LaPmZnIn.

a b c (Å): 7.6589 7.6589 7.6589
angles (deg): 90.00 90.00 90.00
Closest atoms and distances in Å follow each position.
Space group F-43m (No. 216)
One atom of each set of equivalent atoms:
La1 0.0000 0.0000 0.0000 (multiplicity 4)  4 Zn 3.32, 4 In 3.32
Pm1 0.0000 0.0000 0.5000 (multiplicity 4)  4 In 3.32, 4 Zn 3.32
Zn1 0.2500 0.2500 0.7500 (multiplicity 4)  4 Pm 3.32, 4 La 3.32
In1 0.2500 0.2500 0.2500 (multiplicity 4)  4 La 3.32, 4 Pm 3.32

**E_tot**: -3.81 eV per atom

---

No. 11
The following is a DFT calculation (PBE) of an optimized crystal structure of LaPr6In3.

a b c (Å): 10.9815 15.6119 8.0009
angles (deg): 90.00 90.00 90.00
Closest atoms and distances in Å follow each position.
Space group Cmc2_1 (No. 36)
One atom of each set of equivalent atoms:
La1 0.0000 0.2241 0.0000 (multiplicity 4)  3 Pr 3.35-3.56, 2 In 3.45
Pr1 0.0000 0.0515 0.2908 (multiplicity 4)  4 In 3.42-3.54, 1 La 3.56, 4 Pr 3.57-3.61
Pr2 0.0000 0.3038 0.4643 (multiplicity 4)  3 In 3.34-3.45, 6 Pr 3.60-3.72
Pr3 0.2326 0.4658 0.4819 (multiplicity 8)  4 In 3.27-3.48, 3 Pr 3.50-3.60
Pr4 0.2364 0.3107 0.7977 (multiplicity 8)  3 In 3.19-3.36, 1 La 3.35, 1 Pr 3.50
In1 0.0000 0.4469 0.7751 (multiplicity 4)  7 Pr 3.33-3.48
In2 0.1390 0.1322 0.6570 (multiplicity 8)  1 In 3.05, 4 Pr 3.19-3.33

**ΔE to the lowest computed polymorph**: 92 meV/atom
**E_tot**: -4.35 eV per atom

---

No. 12
The following is a DFT calculation (PBE) of an optimized crystal structure of La5PrIn6.

a b c (Å): 9.6512 16.7743 5.5810
angles (deg): 90.00 125.28 90.00
Closest atoms and distances in Å follow each position.
Space group C2/m (No. 12)
One atom of each set of equivalent atoms:
La1 0.0000 0.0000 0.0000 (multiplicity 2)  8 In 3.41-3.45
La2 0.0000 0.1653 0.5000 (multiplicity 4)  8 In 3.43-3.45
La3 0.0000 0.3303 0.0000 (multiplicity 4)  8 In 3.40-3.43
Pr1 0.0000 0.5000 0.5000 (multiplicity 2)  8 In 3.38-3.39
In1 0.2431 0.5000 0.2430 (multiplicity 4)  2 Pr 3.38-3.39, 6 La 3.43-3.45
In2 0.2465 0.3349 0.7464 (multiplicity 8)  1 Pr 3.38, 7 La 3.40-3.45

**E_tot**: -4.33 eV per atom

---

No. 13
The following is a DFT calculation (PBE) of an optimized crystal structure of LaPr6In3.

a b c (Å): 9.7330 5.6353 12.3545
angles (deg): 90.00 110.48 90.00
Closest atoms and distances in Å follow each position.
Space group P2_1/m (No. 11)
One atom of each set of equivalent atoms:
La1 0.0586 0.2500 0.4332 (multiplicity 2)  8 Pr 3.29-3.66, 2 La 3.64
Pr1 0.0908 0.7500 0.8832 (multiplicity 2)  4 Pr 3.27-3.62, 4 In 3.28-3.64
Pr2 0.1376 0.7500 0.1583 (multiplicity 2)  4 Pr 3.27-3.60, 3 In 3.50-3.51
Pr3 0.1606 0.2500 0.7166 (multiplicity 2)  3 La 3.29-3.63, 3 In 3.37-3.42, 1 Pr 3.61
Pr4 0.2672 0.7500 0.4970 (multiplicity 2)  4 In 3.34-3.53, 3 La 3.40-3.57, 1 Pr 3.54
Pr5 0.3596 0.2500 0.3210 (multiplicity 2)  5 In 3.31-3.48, 3 Pr 3.54-3.69, 1 La 3.65
Pr6 0.4648 0.7500 0.0855 (multiplicity 2)  7 In 3.38-3.72, 5 Pr 3.60-3.73
In1 0.2295 0.2500 0.0296 (multiplicity 2)  11 Pr 3.36-3.72
In2 0.3628 0.7500 0.7841 (multiplicity 2)  8 Pr 3.28-3.50
In3 0.4495 0.2500 0.6196 (multiplicity 2)  8 Pr 3.31-3.53, 1 La 3.69

**ΔE to the lowest computed polymorph**: 0 meV/atom
**E_tot**: -4.44 eV per atom

---

No. 14
The following is a DFT calculation (PBE) of an optimized crystal structure of La4Pr9In11.

a b c (Å): 16.4790 24.0447 3.6638
angles (deg): 90.00 90.00 90.00
Closest atoms and distances in Å follow each position.
Space group Cmmm (No. 65)
One atom of each set of equivalent atoms:
La1 0.1748 0.0831 0.0000 (multiplicity 8)  6 In 3.39-3.53, 3 Pr 3.49-3.60, 2 La 3.66
Pr1 0.0000 0.0000 0.0000 (multiplicity 2)  4 In 3.43, 4 La 3.51, 2 Pr 3.66
Pr2 0.1074 0.4034 0.0000 (multiplicity 8)  8 In 3.34-3.45, 3 Pr 3.54-3.66, 1 La 3.60
Pr3 0.1124 0.2220 0.0000 (multiplicity 8)  8 In 3.37-3.57, 1 La 3.49, 3 Pr 3.66-3.71
In1 0.0000 0.1206 0.5000 (multiplicity 4)  6 Pr 3.43-3.57, 4 La 3.53, 2 In 3.66
In2 0.0000 0.3108 0.5000 (multiplicity 4)  8 Pr 3.37-3.38, 4 In 3.66-3.69
In3 0.0000 0.5000 0.5000 (multiplicity 2)  4 In 3.32-3.66, 8 Pr 3.45
In4 0.2012 0.5000 0.5000 (multiplicity 4)  3 In 3.32-3.66, 4 Pr 3.34, 4 La 3.39
In5 0.2240 0.3144 0.5000 (multiplicity 8)  1 In 3.21, 6 Pr 3.37-3.42, 2 La 3.49

**E_tot**: -4.30 eV per atom

---

No. 15
The following is a DFT calculation (PBE) of an optimized crystal structure of LaPrIn.

a b c (Å): 9.0743 5.4727 7.5976
angles (deg): 90.00 92.87 90.00
Closest atoms and distances in Å follow each position.
Space group C2/m (No. 12)
One atom of each set of equivalent atoms:
La1 0.1680 0.0000 0.4062 (multiplicity 4)  3 In 3.32-3.35, 3 La 3.39-3.43
Pr1 0.1674 0.0000 0.9030 (multiplicity 4)  3 In 3.26-3.29, 3 Pr 3.42-3.44
In1 0.9999 0.5000 0.2413 (multiplicity 4)  3 Pr 3.26-3.29, 3 La 3.32-3.35

**ΔE to the lowest computed polymorph**: 30 meV/atom
**E_tot**: -4.43 eV per atom

---

No. 16
The following is a DFT calculation (PBE) of an optimized crystal structure of LaPr12In3.

a b c (Å): 5.0424 5.0424 20.6761
angles (deg): 90.00 90.00 90.00
Closest atoms and distances in Å follow each position.
Space group P4/mmm (No. 123)
One atom of each set of equivalent atoms:
La1 0.0000 0.0000 0.0000 (multiplicity 1)  12 Pr 3.57-3.74
Pr1 0.0000 0.5000 0.1339 (multiplicity 4)  8 Pr 3.57-3.74, 2 In 3.58, 2 La 3.74
Pr2 0.0000 0.5000 0.3783 (multiplicity 4)  8 Pr 3.55-3.57, 4 In 3.56
Pr3 0.5000 0.5000 0.0000 (multiplicity 1)  4 La 3.57, 8 Pr 3.74
Pr4 0.5000 0.5000 0.2574 (multiplicity 2)  8 Pr 3.55-3.59, 4 In 3.57
Pr5 0.5000 0.5000 0.5000 (multiplicity 1)  8 Pr 3.56, 4 In 3.57
In1 0.0000 0.0000 0.2567 (multiplicity 2)  12 Pr 3.56-3.58
In2 0.0000 0.0000 0.5000 (multiplicity 1)  12 Pr 3.56-3.57

**E_tot**: -4.60 eV per atom

---

No. 17
The following is a DFT calculation (PBE) of an optimized crystal structure of La6PrIn5.

a b c (Å): 5.6810 17.3147 7.7681
angles (deg): 90.00 90.00 90.00
Closest atoms and distances in Å follow each position.
Space group Cmmm (No. 65)
One atom of each set of equivalent atoms:
La1 0.0000 0.0000 0.2274 (multiplicity 4)  6 In 3.34-3.39, 1 La 3.53, 2 Pr 3.54
La2 0.0000 0.3254 0.2503 (multiplicity 8)  7 In 3.36-3.60, 1 Pr 3.59
Pr1 0.0000 0.5000 0.5000 (multiplicity 2)  8 La 3.54-3.59, 6 In 3.85-3.88
In1 0.0000 0.1504 0.5000 (multiplicity 4)  8 La 3.36-3.60
In2 0.0000 0.1674 0.0000 (multiplicity 4)  8 La 3.36-3.44
In3 0.0000 0.5000 0.0000 (multiplicity 2)  8 La 3.34-3.59

**E_tot**: -4.40 eV per atom

---

No. 18
The following is a DFT calculation (PBE) of an optimized crystal structure of La4Pr4In.

a b c (Å): 11.0322 11.0322 5.1281
angles (deg): 90.00 90.00 90.00
Closest atoms and distances in Å follow each position.
Space group I4/mmm (No. 139)
One atom of each set of equivalent atoms:
La1 0.1612 0.1612 0.0000 (multiplicity 8)  4 La 3.56-3.78, 2 In 3.59, 6 Pr 3.62-3.74
Pr1 0.0000 0.3277 0.5000 (multiplicity 8)  1 In 3.62, 6 La 3.62-3.74, 5 Pr 3.71-3.80
In1 0.0000 0.0000 0.5000 (multiplicity 2)  8 La 3.59, 4 Pr 3.62

**ΔE to the lowest computed polymorph**: 0 meV/atom
**E_tot**: -4.70 eV per atom

---

No. 19
The following is a DFT calculation (PBE) of an optimized crystal structure of LaPr8In6.

a b c (Å): 9.3772 9.3772 20.0519
angles (deg): 90.00 90.00 120.00
Closest atoms and distances in Å follow each position.
Space group R-3 (No. 148, hexagonal axes)
One atom of each set of equivalent atoms:
La1 0.0000 0.0000 0.0000 (multiplicity 3)  6 In 3.33
Pr1 0.0000 0.0000 0.3330 (multiplicity 6)  6 In 3.29-3.30
Pr2 0.0008 0.3319 0.1161 (multiplicity 18)  5 In 3.27-3.41
In1 0.0000 0.3361 0.9459 (multiplicity 18)  7 Pr 3.27-3.41, 1 La 3.33

**E_tot**: -4.23 eV per atom

---

No. 20
The following is a DFT calculation (PBE) of an optimized crystal structure of La2Pr5In.

a b c (Å): 5.0807 5.0807 21.1719
angles (deg): 90.00 90.00 90.00
Closest atoms and distances in Å follow each position.
Space group I4/mmm (No. 139)
One atom of each set of equivalent atoms:
La1 0.0000 0.0000 0.2484 (multiplicity 4)  4 La 3.59, 8 Pr 3.72-3.77
Pr1 0.0000 0.0000 0.0000 (multiplicity 2)  4 In 3.59, 8 Pr 3.59
Pr2 0.0000 0.5000 0.1201 (multiplicity 8)  6 Pr 3.59, 2 In 3.59, 4 La 3.72-3.77
In1 0.0000 0.0000 0.5000 (multiplicity 2)  12 Pr 3.59

**E_tot**: -4.67 eV per atom

---

No. 21
The following is a DFT calculation (PBE) of an optimized crystal structure of La15Pr2In2.

a b c (Å): 10.7822 10.7822 19.5063
angles (deg): 90.00 90.00 120.00
Closest atoms and distances in Å follow each position.
Space group R-3m (No. 166, hexagonal axes)
One atom of each set of equivalent atoms:
La1 0.0000 0.3109 0.0000 (multiplicity 18)  4 La 3.20-3.35
La2 0.0000 0.5000 0.5000 (multiplicity 9)  8 La 3.49-3.66, 2 Pr 3.49, 2 In 3.82
La3 0.0536 0.5268 0.1238 (multiplicity 18)  4 La 3.10-3.20
Pr1 0.0000 0.0000 0.0854 (multiplicity 6)  1 Pr 3.33, 3 La 3.49
In1 0.0000 0.0000 0.2804 (multiplicity 6)  1 Pr 3.81, 12 La 3.82-3.87

**E_tot**: -4.50 eV per atom

---

| no. | E_form (eV/atom) | total magnetic moment (μB/atom) |
| --- | --- | --- |
| 1 | -0.0942 | 0.00 |
| 2 | -0.4717 | 0.00 |
| 3 | -0.1173 | 0.31 |
| 4 | -0.1521 | 0.25 |
| 5 | -0.3691 | 0.00 |
| 6 | -0.1174 | 0.00 |
| 7 | -0.0687 | 0.00 |
| 8 | -0.3290 | 0.00 |
| 9 | -0.4613 | 0.00 |
| 10 | -0.3915 | 0.00 |
| 11 | -0.1687 | 0.00 |
| 12 | -0.5109 | 0.00 |
| 13 | -0.2610 | 0.00 |
| 14 | -0.4288 | 0.00 |
| 15 | -0.2768 | 0.00 |
| 16 | -0.1949 | 0.00 |
| 17 | -0.3995 | 0.21 |
| 18 | -0.0811 | 0.00 |
| 19 | -0.2527 | 0.00 |
| 20 | -0.1124 | 0.00 |
| 21 | 0.1860 | 0.00 |